This record from Alexandria describes a relaxed structure of BaThCrN4. The functional is GGA-PBE.

Its crystal system is monoclinic. The formation energy without anion corrections is -1.057 eV/atom. For the volume, the calculation gives 243.2 Å³/cell.

It has space group P2_1/m (No. 11), with a = 5.9600 Å, b = 5.6514 Å, c = 7.5303 Å, α = 90.00°, β = 106.49° and γ = 90.00°. The distinct sites, in fractional coordinates, are Ba at (0.2195, 0.2500, 0.4227), Th at (0.2694, 0.2500, 0.9427), Cr at (0.2691, 0.7500, 0.1740), N at (0.0818, 0.7500, 0.3165), N at (0.0852, 0.7500, 0.9518) and N at (0.4579, 0.5085, 0.1992).